Here is an optimized crystal structure of LiMgSi2 from Alexandria. Energies are from GGA-PBE.

extended XYZ file:
```
4
Lattice="1.539 0.889 8.514 -1.539 0.889 8.514 0.000 -1.777 8.514" Properties=species:S:1:pos:R:3 pbc="T T T"
Li 0.000 0.000 0.000
Mg 0.000 0.000 19.520
Si 0.000 0.000 6.470
Si 0.000 0.000 13.247
```

Properties
Its total moment is 0.000 μB per formula unit. The value obtained for the energy is -13.90 eV/cell. The raw formation energy comes out at 113 meV/atom.



Here is an optimized crystal structure of RbCaTa from Alexandria. Energies are from GGA-PBE.

extended XYZ file:
```
6
Lattice="6.039 0.000 0.000 -3.019 5.230 0.000 0.000 0.000 6.897" Properties=species:S:1:pos:R:3 pbc="T T T"
Rb 0.000 0.000 0.000
Rb 0.000 0.000 3.448
Ca 0.000 3.487 1.724
Ca 3.019 1.743 5.173
Ta 0.000 3.487 5.173
Ta 3.019 1.743 1.724
```

Properties
Its total moment is 3.794 μB per formula unit. The value obtained for the energy is -19.98 eV/cell. The value obtained for the formation enthalpy at 0 K is 1.61 eV/atom.



Here is an optimized crystal structure of RbAg2Cl7 from Alexandria. Energies are from GGA-PBE.

extended XYZ file:
```
10
Lattice="3.725 -9.314 0.000 3.725 9.314 0.000 0.000 0.000 4.496" Properties=species:S:1:pos:R:3 pbc="T T T"
Rb 0.000 0.000 0.000
Ag 3.725 2.569 2.248
Ag 3.725 -2.569 2.248
Cl 1.152 2.338 2.248
Cl 1.152 -2.338 2.248
Cl 3.725 3.584 0.000
Cl 3.725 0.000 2.248
Cl 3.725 -3.584 0.000
Cl 6.298 2.338 2.248
Cl 6.298 -2.338 2.248
```

Properties
Its total moment is 0.000 μB per formula unit. The value obtained for the energy is -24.61 eV/cell. The raw formation energy comes out at -502 meV/atom.



Here is an optimized crystal structure of Sm2YErP4 from Alexandria. Energies are from GGA-PBE.

extended XYZ file:
```
8
Lattice="7.011 0.000 0.000 0.000 4.052 0.000 -2.339 0.000 6.614" Properties=species:S:1:pos:R:3 pbc="T T T"
Sm 0.000 0.000 0.000
Sm -1.169 2.026 3.307
Y 2.336 0.000 3.307
Er 3.506 2.026 0.000
P 0.042 0.000 4.986
P 1.212 2.026 1.659
P 4.631 0.000 1.628
P 3.461 2.026 4.955
```

Properties
Its total moment is 0.000 μB per formula unit. The value obtained for the energy is -54.84 eV/cell. The value obtained for the formation enthalpy at 0 K is -1.59 eV/atom.



Here is an optimized crystal structure of NbSbS2N from Alexandria. Energies are from GGA-PBE.

extended XYZ file:
```
5
Lattice="4.989 0.000 0.000 0.000 4.989 0.000 0.000 0.000 3.900" Properties=species:S:1:pos:R:3 pbc="T T T"
Nb 0.000 0.000 0.000
Sb 2.495 2.495 1.950
S 0.000 2.495 0.000
S 2.495 0.000 0.000
N 0.000 0.000 1.950
```

Properties
Its total moment is 0.000 μB per formula unit. The value obtained for the energy is -30.84 eV/cell. The raw formation energy comes out at -13 meV/atom.



Here is an optimized crystal structure of Ga8Ag2Au from Alexandria. Energies are from GGA-PBE.

extended XYZ file:
```
11
Lattice="7.592 -2.246 0.000 7.592 2.246 0.000 -2.830 0.000 6.206" Properties=species:S:1:pos:R:3 pbc="T T T"
Ga -0.465 0.000 1.908
Ga 0.774 0.000 4.931
Ga 3.421 0.000 3.413
Ga 6.269 0.000 0.343
Ga 6.084 0.000 5.862
Ga 8.933 0.000 2.793
Ga 11.580 0.000 1.275
Ga 12.818 0.000 4.297
Ag 2.108 0.000 1.026
Ag 10.245 0.000 5.180
Au 6.177 0.000 3.103
```

Properties
Its total moment is 0.000 μB per formula unit. The value obtained for the energy is -33.14 eV/cell. The value obtained for the formation enthalpy at 0 K is 0.00 eV/atom.



Here is an optimized crystal structure of LiLaCl2 from Alexandria. Energies are from GGA-PBE.

extended XYZ file:
```
4
Lattice="-1.814 2.853 4.114 1.814 -2.853 4.114 1.814 2.853 -4.114" Properties=species:S:1:pos:R:3 pbc="T T T"
Li 0.000 0.000 0.000
La 0.000 0.000 4.114
Cl 1.814 0.000 1.625
Cl 0.000 2.853 2.489
```

Properties
Its total moment is 0.000 μB per formula unit. The value obtained for the energy is -16.49 eV/cell. The raw formation energy comes out at -1489 meV/atom.



Here is an optimized crystal structure of SiSe2SBr from Alexandria. Energies are from GGA-PBE.

extended XYZ file:
```
5
Lattice="4.900 0.000 0.000 0.000 4.900 0.000 0.000 0.000 5.018" Properties=species:S:1:pos:R:3 pbc="T T T"
Si 0.000 0.000 0.000
Se 0.000 2.450 2.509
Se 2.450 0.000 2.509
S 2.450 2.450 2.509
Br 2.450 2.450 0.000
```

Properties
Its total moment is 0.000 μB per formula unit. The value obtained for the energy is -14.72 eV/cell. The raw formation energy comes out at 695 meV/atom.



Here is an optimized crystal structure of SiOs2Pb from Alexandria. Energies are from GGA-PBE.

extended XYZ file:
```
4
Lattice="2.876 0.000 0.000 0.000 3.890 0.000 0.000 0.000 6.176" Properties=species:S:1:pos:R:3 pbc="T T T"
Si 0.000 0.000 0.000
Os 0.000 0.000 2.329
Os 1.438 1.945 0.614
Pb 1.438 1.945 3.866
```

Properties
Its total moment is 0.000 μB per formula unit. The value obtained for the energy is -29.54 eV/cell. The raw formation energy comes out at 512 meV/atom.



Here is an optimized crystal structure of LiCd2B2O6 from Alexandria. Energies are from GGA-PBE.

extended XYZ file:
```
11
Lattice="2.524 1.457 5.486 -2.524 1.457 5.486 0.000 -2.915 5.486" Properties=species:S:1:pos:R:3 pbc="T T T"
Li 0.000 0.000 0.000
Cd 0.000 0.000 3.409
Cd 0.000 0.000 13.049
B 0.000 0.000 6.896
B 0.000 0.000 9.561
O 0.000 -1.374 6.909
O -1.190 0.687 6.909
O -1.190 -0.687 9.549
O 1.190 0.687 6.909
O 1.190 -0.687 9.549
O 0.000 1.374 9.549
```

Properties
Its total moment is 1.017 μB per formula unit. The value obtained for the energy is -64.23 eV/cell. The raw formation energy comes out at -1580 meV/atom.



Here is an optimized crystal structure of As2RhSe from Alexandria. Energies are from GGA-PBE.

extended XYZ file:
```
4
Lattice="3.591 -1.769 0.000 3.591 1.769 0.000 -1.420 0.000 6.362" Properties=species:S:1:pos:R:3 pbc="T T T"
As 0.000 0.000 0.000
As 0.092 0.000 4.405
Rh 2.375 0.000 3.381
Se 4.302 0.000 1.753
```

Properties
Its total moment is 0.000 μB per formula unit. The value obtained for the energy is -20.44 eV/cell. The raw formation energy comes out at -76 meV/atom.



Here is an optimized crystal structure of Ca2Hg3 from Alexandria. Energies are from GGA-PBE.

extended XYZ file:
```
10
Lattice="1.872 -14.764 0.000 1.872 14.764 0.000 0.000 0.000 4.949" Properties=species:S:1:pos:R:3 pbc="T T T"
Ca 1.872 12.612 3.712
Ca 1.872 8.596 1.237
Ca 1.872 -8.596 3.712
Ca 1.872 -12.612 1.237
Hg 1.872 5.318 1.237
Hg 1.872 3.585 3.712
Hg 1.872 0.727 3.712
Hg 1.872 -0.727 1.237
Hg 1.872 -3.585 1.237
Hg 1.872 -5.318 3.712
```

Properties
Its total moment is 0.000 μB per formula unit. The value obtained for the energy is -14.48 eV/cell. The value obtained for the formation enthalpy at 0 K is -0.47 eV/atom.



Q: Look up the total moment of the twelfth one.
A: 0.000 μB per formula unit



Q: Which formula does entry 4 have?
A: Sm2YErP4



What did the tenth record say?
Here is an optimized crystal structure of LiCd2B2O6 from Alexandria. Energies are from GGA-PBE.

extended XYZ file:
```
11
Lattice="2.524 1.457 5.486 -2.524 1.457 5.486 0.000 -2.915 5.486" Properties=species:S:1:pos:R:3 pbc="T T T"
Li 0.000 0.000 0.000
Cd 0.000 0.000 3.409
Cd 0.000 0.000 13.049
B 0.000 0.000 6.896
B 0.000 0.000 9.561
O 0.000 -1.374 6.909
O -1.190 0.687 6.909
O -1.190 -0.687 9.549
O 1.190 0.687 6.909
O 1.190 -0.687 9.549
O 0.000 1.374 9.549
```

Properties
Its total moment is 1.017 μB per formula unit. The value obtained for the energy is -64.23 eV/cell. The raw formation energy comes out at -1580 meV/atom.



Q: Look up the energy of the third one.
A: -24.61 eV/cell